Entry from the Alexandria database: crystalline NaVP2O8 at its relaxed geometry (PBE+U).

Summary:
* crystal system: tetragonal
* space-group type: P4_2nm (102)
* total DFT energy (no corrections): -6.99 eV/atom
* density of states at the Fermi level: 0.000 states/eV per atom

Cell: 8.2261 8.2261 10.2282 Å, 90.00 90.00 90.00°
Closest atoms and distances in Å follow each position.
Fractional positions:
Na1 0.1556 0.1556 0.0000  3 O 2.35-2.56
Na2 0.3444 0.6556 0.5000  3 O 2.35-2.56
Na3 0.6556 0.3444 0.5000  3 O 2.35-2.56
Na4 0.8444 0.8444 0.0000  3 O 2.35-2.56
V1 0.0000 0.5000 0.2203  1 O 1.60
V2 0.0000 0.5000 0.7203  1 O 1.60
V3 0.5000 0.0000 0.2203  1 O 1.60
V4 0.5000 0.0000 0.7203  1 O 1.60
P1 0.1252 0.8748 0.7400  4 O 1.49-1.61
P2 0.1366 0.8634 0.2522  4 O 1.48-1.63
P3 0.3634 0.3634 0.7522  4 O 1.48-1.63
P4 0.3748 0.3748 0.2400  4 O 1.49-1.61
P5 0.6252 0.6252 0.2400  4 O 1.49-1.61
P6 0.6366 0.6366 0.7522  4 O 1.48-1.63
P7 0.8634 0.1366 0.2522  4 O 1.48-1.63
P8 0.8748 0.1252 0.7400  4 O 1.49-1.61
O1 0.0000 0.0000 0.2171  2 P 1.63
O2 0.0000 0.0000 0.6726  2 P 1.61
O3 0.0000 0.5000 0.3764  1 V 1.60
O4 0.0000 0.5000 0.8764  1 V 1.60
O5 0.0710 0.7147 0.1732  1 P 1.56
O6 0.0781 0.7099 0.6760  1 P 1.56
O7 0.1189 0.8811 0.8855  1 P 1.49
O8 0.1656 0.8344 0.3931  1 P 1.48
O9 0.2099 0.4219 0.1760  1 P 1.56
O10 0.2147 0.4290 0.6732  1 P 1.56
O11 0.2853 0.9290 0.1732  1 P 1.56
O12 0.2901 0.9219 0.6760  1 P 1.56
O13 0.3344 0.3344 0.8931  1 P 1.48
O14 0.3811 0.3811 0.3855  1 P 1.49
O15 0.4219 0.2099 0.1760  1 P 1.56
O16 0.4290 0.2147 0.6732  1 P 1.56
O17 0.5000 0.0000 0.3764  1 V 1.60
O18 0.5000 0.0000 0.8764  1 V 1.60
O19 0.5000 0.5000 0.1726  2 P 1.61
O20 0.5000 0.5000 0.7171  2 P 1.63
O21 0.5710 0.7853 0.6732  1 P 1.56
O22 0.5781 0.7901 0.1760  1 P 1.56
O23 0.6189 0.6189 0.3855  1 P 1.49
O24 0.6656 0.6656 0.8931  1 P 1.48
O25 0.7099 0.0781 0.6760  1 P 1.56
O26 0.7147 0.0710 0.1732  1 P 1.56
O27 0.7853 0.5710 0.6732  1 P 1.56
O28 0.7901 0.5781 0.1760  1 P 1.56
O29 0.8344 0.1656 0.3931  1 P 1.48
O30 0.8811 0.1189 0.8855  1 P 1.49
O31 0.9219 0.2901 0.6760  1 P 1.56
O32 0.9290 0.2853 0.1732  1 P 1.56